Entry 1:
DFT (PBE) results for an optimized crystal structure of RbCu2HgI6.

a = 10.820 Å, b = 10.820 Å, c = 7.476 Å
α = 96.32°, β = 96.32°, γ = 96.73°
Fractional positions:
Rb (0.106, 0.894, 0.750)
Rb (0.894, 0.106, 0.250)
Cu (0.238, 0.354, 0.754)
Cu (0.354, 0.238, 0.254)
Cu (0.646, 0.762, 0.746)
Cu (0.762, 0.646, 0.246)
Hg (0.312, 0.688, 0.250)
Hg (0.688, 0.312, 0.750)
I (0.020, 0.220, 0.717)
I (0.192, 0.577, 0.925)
I (0.220, 0.020, 0.217)
I (0.254, 0.408, 0.429)
I (0.408, 0.254, 0.929)
I (0.423, 0.808, 0.575)
I (0.577, 0.192, 0.425)
I (0.592, 0.746, 0.071)
I (0.746, 0.592, 0.571)
I (0.780, 0.980, 0.783)
I (0.808, 0.423, 0.075)
I (0.980, 0.780, 0.283)

Values from the calculation:
For the volume, the calculation gives 42.861 Å³ per atom. The energy relative to the elements, uncorrected is -0.414 eV/atom.

Entry 2:
DFT (PBE) results for an optimized crystal structure of Mn3NbCd.

a = 4.713 Å, b = 4.713 Å, c = 4.713 Å
α = 90.00°, β = 90.00°, γ = 90.00°
Fractional positions:
Mn (0.000, 0.000, 0.500)
Mn (0.000, 0.500, 0.000)
Mn (0.500, 0.000, 0.000)
Nb (0.000, 0.000, 0.000)
Cd (0.500, 0.500, 0.500)

Values from the calculation:
For the volume, the calculation gives 20.934 Å³ per atom. The final energy is -6.50 eV per atom.

Entry 3:
DFT (PBE) results for an optimized crystal structure of HRh2W.

a = 4.199 Å, b = 4.199 Å, c = 4.199 Å
α = 60.00°, β = 60.00°, γ = 60.00°
Fractional positions:
H (0.000, 0.000, 0.000)
Rh (0.250, 0.250, 0.250)
Rh (0.750, 0.750, 0.750)
W (0.500, 0.500, 0.500)

Values from the calculation:
For the volume, the calculation gives 13.088 Å³ per atom. The final energy is -7.29 eV per atom.

Entry 4:
DFT (PBE) results for an optimized crystal structure of CaNi3.

a = 4.040 Å, b = 4.040 Å, c = 5.341 Å
α = 112.30°, β = 112.30°, γ = 60.01°
Fractional positions:
Ca (0.000, 0.000, 0.000)
Ni (0.189, 0.189, 0.566)
Ni (0.500, 0.500, 0.500)
Ni (0.811, 0.811, 0.434)

Values from the calculation:
For the volume, the calculation gives 16.969 Å³ per atom. The final energy is -4.93 eV per atom.

Entry 5:
DFT (PBE) results for an optimized crystal structure of EuGaBiAu.

a = 5.229 Å, b = 5.229 Å, c = 5.229 Å
α = 60.00°, β = 60.00°, γ = 60.00°
Fractional positions:
Eu (0.000, 0.000, 0.000)
Ga (0.250, 0.250, 0.250)
Bi (0.500, 0.500, 0.500)
Au (0.750, 0.750, 0.750)

Values from the calculation:
For the volume, the calculation gives 25.280 Å³ per atom. The final energy is -5.54 eV per atom.

Entry 6:
DFT (PBE) results for an optimized crystal structure of PuPdAuO6.

a = 5.343 Å, b = 5.343 Å, c = 9.702 Å
α = 90.00°, β = 90.00°, γ = 120.00°
Fractional positions:
Pu (0.333, 0.667, 0.250)
Pu (0.667, 0.333, 0.750)
Pd (0.333, 0.667, 0.750)
Pd (0.667, 0.333, 0.250)
Au (0.000, 0.000, 0.000)
Au (0.000, 0.000, 0.500)
O (0.000, 0.350, 0.135)
O (0.000, 0.350, 0.635)
O (0.000, 0.650, 0.365)
O (0.000, 0.650, 0.865)
O (0.350, 0.000, 0.135)
O (0.350, 0.000, 0.635)
O (0.350, 0.350, 0.365)
O (0.350, 0.350, 0.865)
O (0.650, 0.000, 0.365)
O (0.650, 0.000, 0.865)
O (0.650, 0.650, 0.135)
O (0.650, 0.650, 0.635)

Values from the calculation:
For the volume, the calculation gives 13.324 Å³ per atom. The energy relative to the elements, uncorrected is -1.086 eV/atom.

Entry 7:
DFT (PBE) results for an optimized crystal structure of KPaTcN3.

a = 7.255 Å, b = 3.527 Å, c = 9.326 Å
α = 90.00°, β = 106.01°, γ = 90.00°
Fractional positions:
K (0.227, 0.250, 0.243)
K (0.773, 0.750, 0.757)
Pa (0.339, 0.250, 0.852)
Pa (0.661, 0.750, 0.148)
Tc (0.119, 0.750, 0.562)
Tc (0.881, 0.250, 0.438)
N (0.042, 0.250, 0.657)
N (0.347, 0.750, 0.006)
N (0.373, 0.750, 0.703)
N (0.627, 0.250, 0.297)
N (0.653, 0.250, 0.994)
N (0.958, 0.750, 0.343)

Values from the calculation:
For the volume, the calculation gives 19.112 Å³ per atom. The energy relative to the elements, uncorrected is -0.730 eV/atom.

Entry 8:
DFT (PBE) results for an optimized crystal structure of Er4Ga21Ni10.

a = 10.629 Å, b = 10.629 Å, c = 15.284 Å
α = 123.57°, β = 123.57°, γ = 22.28°
Fractional positions:
Er (0.121, 0.121, 0.334)
Er (0.229, 0.229, 0.825)
Er (0.771, 0.771, 0.175)
Er (0.879, 0.879, 0.666)
Ga (0.007, 0.007, 0.092)
Ga (0.066, 0.066, 0.797)
Ga (0.117, 0.117, 0.554)
Ga (0.200, 0.200, 0.003)
Ga (0.249, 0.249, 0.295)
Ga (0.298, 0.298, 0.498)
Ga (0.373, 0.373, 0.803)
Ga (0.386, 0.386, 0.296)
Ga (0.399, 0.399, 0.000)
Ga (0.459, 0.459, 0.632)
Ga (0.500, 0.500, 0.500)
Ga (0.541, 0.541, 0.368)
Ga (0.601, 0.601, 0.000)
Ga (0.614, 0.614, 0.704)
Ga (0.627, 0.627, 0.197)
Ga (0.702, 0.702, 0.502)
Ga (0.751, 0.751, 0.705)
Ga (0.800, 0.800, 0.997)
Ga (0.883, 0.883, 0.446)
Ga (0.934, 0.934, 0.203)
Ga (0.993, 0.993, 0.908)
Ni (0.023, 0.023, 0.606)
Ni (0.134, 0.134, 0.106)
Ni (0.250, 0.250, 0.616)
Ni (0.347, 0.347, 0.111)
Ni (0.498, 0.498, 0.816)
Ni (0.502, 0.502, 0.184)
Ni (0.653, 0.653, 0.889)
Ni (0.750, 0.750, 0.384)
Ni (0.866, 0.866, 0.894)
Ni (0.977, 0.977, 0.394)

Values from the calculation:
For the volume, the calculation gives 15.452 Å³ per atom. The final energy is -4.50 eV per atom.

Entry 9:
DFT (PBE) results for an optimized crystal structure of Cs2ZnAgSb2.

a = 10.173 Å, b = 10.173 Å, c = 10.173 Å
α = 139.74°, β = 57.93°, γ = 140.16°
Fractional positions:
Cs (0.166, 0.242, 0.408)
Cs (0.334, 0.742, 0.075)
Cs (0.666, 0.258, 0.925)
Cs (0.834, 0.758, 0.592)
Zn (0.250, 0.750, 0.500)
Zn (0.750, 0.250, 0.500)
Ag (0.250, 0.250, 0.000)
Ag (0.750, 0.750, 0.000)
Sb (0.082, 0.734, 0.816)
Sb (0.418, 0.234, 0.653)
Sb (0.582, 0.766, 0.347)
Sb (0.918, 0.266, 0.184)

Values from the calculation:
For the volume, the calculation gives 35.995 Å³ per atom. The energy relative to the elements, uncorrected is -0.275 eV/atom.

Entry 10:
DFT (PBE) results for an optimized crystal structure of Pr2Al5Os.

a = 6.342 Å, b = 6.342 Å, c = 6.342 Å
α = 121.03°, β = 121.03°, γ = 88.23°
Fractional positions:
Pr (0.000, 0.500, 0.500)
Pr (0.500, 0.000, 0.500)
Al (0.036, 0.036, 0.562)
Al (0.036, 0.475, 0.000)
Al (0.475, 0.036, 0.000)
Al (0.475, 0.475, 0.438)
Al (0.481, 0.481, 0.000)
Os (0.749, 0.749, 0.000)

Values from the calculation:
For the volume, the calculation gives 22.188 Å³ per atom. The final energy is -5.21 eV per atom.

Entry 11:
DFT (PBE) results for an optimized crystal structure of Tb3PrNd2Dy6.

a = 6.213 Å, b = 6.213 Å, c = 11.843 Å
α = 95.00°, β = 95.00°, γ = 119.97°
Fractional positions:
Tb (0.000, 0.000, 0.000)
Tb (0.333, 0.667, 0.000)
Tb (0.667, 0.333, 0.000)
Pr (0.500, 0.500, 0.500)
Nd (0.167, 0.833, 0.500)
Nd (0.833, 0.167, 0.500)
Dy (0.081, 0.415, 0.247)
Dy (0.252, 0.252, 0.753)
Dy (0.415, 0.081, 0.247)
Dy (0.585, 0.919, 0.753)
Dy (0.748, 0.748, 0.247)
Dy (0.919, 0.585, 0.753)

Values from the calculation:
For the volume, the calculation gives 32.496 Å³ per atom. The final energy is -4.64 eV per atom.

Entry 12:
DFT (PBE) results for an optimized crystal structure of Ni5Ag3Br12.

a = 13.822 Å, b = 13.822 Å, c = 13.822 Å
α = 109.47°, β = 109.47°, γ = 109.47°
Fractional positions:
Ni (0.000, 0.000, 0.000)
Ni (0.000, 0.000, 0.500)
Ni (0.000, 0.500, 0.000)
Ni (0.000, 0.500, 0.500)
Ni (0.125, 0.750, 0.875)
Ni (0.125, 0.875, 0.250)
Ni (0.250, 0.125, 0.875)
Ni (0.250, 0.625, 0.375)
Ni (0.375, 0.250, 0.625)
Ni (0.375, 0.625, 0.750)
Ni (0.500, 0.000, 0.000)
Ni (0.500, 0.000, 0.500)
Ni (0.500, 0.500, 0.000)
Ni (0.500, 0.500, 0.500)
Ni (0.625, 0.375, 0.250)
Ni (0.625, 0.750, 0.375)
Ni (0.750, 0.375, 0.625)
Ni (0.750, 0.875, 0.125)
Ni (0.875, 0.125, 0.750)
Ni (0.875, 0.250, 0.125)
Ag (0.125, 0.250, 0.375)
Ag (0.125, 0.375, 0.750)
Ag (0.250, 0.375, 0.125)
Ag (0.250, 0.875, 0.625)
Ag (0.375, 0.125, 0.250)
Ag (0.375, 0.750, 0.125)
Ag (0.625, 0.250, 0.875)
Ag (0.625, 0.875, 0.750)
Ag (0.750, 0.125, 0.375)
Ag (0.750, 0.625, 0.875)
Ag (0.875, 0.625, 0.250)
Ag (0.875, 0.750, 0.625)
Br (0.025, 0.202, 0.123)
Br (0.025, 0.323, 0.902)
Br (0.079, 0.702, 0.677)
Br (0.079, 0.877, 0.402)
Br (0.098, 0.623, 0.421)
Br (0.098, 0.975, 0.677)
Br (0.123, 0.025, 0.202)
Br (0.123, 0.598, 0.921)
Br (0.177, 0.202, 0.579)
Br (0.177, 0.475, 0.598)
Br (0.202, 0.123, 0.025)
Br (0.202, 0.579, 0.177)
Br (0.298, 0.323, 0.921)
Br (0.298, 0.475, 0.377)
Br (0.323, 0.902, 0.025)
Br (0.323, 0.921, 0.298)
Br (0.377, 0.298, 0.475)
Br (0.377, 0.579, 0.902)
Br (0.402, 0.079, 0.877)
Br (0.402, 0.823, 0.525)
Br (0.421, 0.098, 0.623)
Br (0.421, 0.823, 0.798)
Br (0.475, 0.377, 0.298)
Br (0.475, 0.598, 0.177)
Br (0.525, 0.402, 0.823)
Br (0.525, 0.623, 0.702)
Br (0.579, 0.177, 0.202)
Br (0.579, 0.902, 0.377)
Br (0.598, 0.177, 0.475)
Br (0.598, 0.921, 0.123)
Br (0.623, 0.421, 0.098)
Br (0.623, 0.702, 0.525)
Br (0.677, 0.079, 0.702)
Br (0.677, 0.098, 0.975)
Br (0.702, 0.525, 0.623)
Br (0.702, 0.677, 0.079)
Br (0.798, 0.421, 0.823)
Br (0.798, 0.877, 0.975)
Br (0.823, 0.525, 0.402)
Br (0.823, 0.798, 0.421)
Br (0.877, 0.402, 0.079)
Br (0.877, 0.975, 0.798)
Br (0.902, 0.025, 0.323)
Br (0.902, 0.377, 0.579)
Br (0.921, 0.123, 0.598)
Br (0.921, 0.298, 0.323)
Br (0.975, 0.677, 0.098)
Br (0.975, 0.798, 0.877)

Values from the calculation:
For the volume, the calculation gives 25.408 Å³ per atom. The energy relative to the elements, uncorrected is -0.184 eV/atom.

Entry 13:
DFT (PBE) results for an optimized crystal structure of BeFeBi2Os.

a = 4.952 Å, b = 4.952 Å, c = 4.546 Å
α = 90.00°, β = 90.00°, γ = 90.00°
Fractional positions:
Be (0.000, 0.000, 0.000)
Fe (0.500, 0.500, 0.500)
Bi (0.000, 0.500, 0.500)
Bi (0.500, 0.000, 0.500)
Os (0.500, 0.500, 0.000)

Values from the calculation:
For the volume, the calculation gives 22.290 Å³ per atom. The final energy is -4.82 eV per atom.

Entry 14:
DFT (PBE) results for an optimized crystal structure of K3Ce3ScSe8.

a = 9.195 Å, b = 9.195 Å, c = 9.195 Å
α = 54.97°, β = 54.97°, γ = 54.97°
Fractional positions:
K (0.000, 0.500, 0.500)
K (0.500, 0.000, 0.500)
K (0.500, 0.500, 0.000)
Ce (0.000, 0.000, 0.500)
Ce (0.000, 0.500, 0.000)
Ce (0.500, 0.000, 0.000)
Sc (0.500, 0.500, 0.500)
Se (0.237, 0.237, 0.237)
Se (0.248, 0.724, 0.724)
Se (0.276, 0.276, 0.752)
Se (0.276, 0.752, 0.276)
Se (0.724, 0.248, 0.724)
Se (0.724, 0.724, 0.248)
Se (0.752, 0.276, 0.276)
Se (0.763, 0.763, 0.763)

Values from the calculation:
For the volume, the calculation gives 32.354 Å³ per atom. The energy relative to the elements, uncorrected is -1.676 eV/atom.

Entry 15:
DFT (PBE) results for an optimized crystal structure of Zr2TiW2.

a = 6.849 Å, b = 6.849 Å, c = 4.253 Å
α = 90.00°, β = 90.00°, γ = 90.00°
Fractional positions:
Zr (0.173, 0.327, 0.000)
Zr (0.327, 0.827, 0.000)
Zr (0.673, 0.173, 0.000)
Zr (0.827, 0.673, 0.000)
Ti (0.000, 0.000, 0.500)
Ti (0.500, 0.500, 0.500)
W (0.136, 0.636, 0.500)
W (0.364, 0.136, 0.500)
W (0.636, 0.864, 0.500)
W (0.864, 0.364, 0.500)

Values from the calculation:
For the volume, the calculation gives 19.949 Å³ per atom. The final energy is -9.82 eV per atom.

Entry 16:
DFT (PBE) results for an optimized crystal structure of HoMgCo.

a = 8.747 Å, b = 8.747 Å, c = 3.806 Å
α = 90.00°, β = 90.00°, γ = 154.36°
Fractional positions:
Ho (0.088, 0.912, 0.750)
Ho (0.912, 0.088, 0.250)
Mg (0.298, 0.702, 0.750)
Mg (0.702, 0.298, 0.250)
Co (0.463, 0.537, 0.750)
Co (0.537, 0.463, 0.250)

Values from the calculation:
For the volume, the calculation gives 21.001 Å³ per atom. The final energy is -4.61 eV per atom.

Entry 17:
DFT (PBE) results for an optimized crystal structure of In2CoPt.

a = 4.581 Å, b = 4.581 Å, c = 4.581 Å
α = 60.00°, β = 60.00°, γ = 60.00°
Fractional positions:
In (0.250, 0.250, 0.250)
In (0.750, 0.750, 0.750)
Co (0.000, 0.000, 0.000)
Pt (0.500, 0.500, 0.500)

Values from the calculation:
For the volume, the calculation gives 16.991 Å³ per atom. The final energy is -4.77 eV per atom.

Entry 18:
DFT (PBE) results for an optimized crystal structure of Nd2Dy5Ho12.

a = 9.106 Å, b = 9.106 Å, c = 8.504 Å
α = 91.07°, β = 91.07°, γ = 60.71°
Fractional positions:
Nd (0.183, 0.817, 0.000)
Nd (0.817, 0.183, 0.000)
Dy (0.198, 0.198, 0.010)
Dy (0.268, 0.268, 0.424)
Dy (0.500, 0.500, 0.500)
Dy (0.732, 0.732, 0.576)
Dy (0.802, 0.802, 0.990)
Ho (0.057, 0.057, 0.331)
Ho (0.064, 0.682, 0.346)
Ho (0.164, 0.525, 0.755)
Ho (0.318, 0.936, 0.654)
Ho (0.408, 0.408, 0.118)
Ho (0.475, 0.836, 0.245)
Ho (0.525, 0.164, 0.755)
Ho (0.592, 0.592, 0.882)
Ho (0.682, 0.064, 0.346)
Ho (0.836, 0.475, 0.245)
Ho (0.936, 0.318, 0.654)
Ho (0.943, 0.943, 0.669)

Values from the calculation:
For the volume, the calculation gives 32.363 Å³ per atom. The final energy is -4.47 eV per atom.